(1)
Compound: PmNiAs
Source: Alexandria
Functional: GGA-PBE
Structure: relaxed

a = 4.4050 Å, b = 4.4050 Å, c = 4.4050 Å
α = 60.00°, β = 60.00°, γ = 60.00°
Closest atoms and distances in Å follow each position.
Atoms (fractional coordinates):
Ni 0.2500 0.2500 0.2500  4 As 2.70, 4 Pm 2.70
As 0.0000 0.0000 0.0000  4 Ni 2.70
Pm 0.5000 0.5000 0.5000  4 Ni 2.70

Results
* V: 20.15 Å³ per atom
* space-group type: F-43m (216)
* calculated formation energy: -0.89 eV per atom
* ΔE to the lowest computed polymorph: 152 meV/atom
* spin magnetization: 0.000 μB/atom



(2)
Compound: TePdSeN2
Source: Alexandria
Functional: GGA-PBE
Structure: relaxed

a = 3.8705 Å, b = 3.8705 Å, c = 7.8292 Å
α = 90.00°, β = 90.00°, γ = 90.00°
Closest atoms and distances in Å follow each position.
Atoms (fractional coordinates):
Te 0.0000 0.0000 0.5000  4 Se 2.74
Se 0.5000 0.5000 0.5000  4 Te 2.74
Pd 0.0000 0.0000 0.0000  4 N 1.94
N 0.0000 0.5000 0.0000  2 Pd 1.94
N 0.5000 0.0000 0.0000  2 Pd 1.94

Results
* V: 23.46 Å³ per atom
* space-group type: P4/mmm (123)
* ΔE to the lowest computed polymorph: 46 meV/atom
* formation energy (no corrections): 1.423 eV per atom
* spin magnetization: 0.000 μB/atom



(3)
Compound: LaBe3F
Source: Alexandria
Functional: GGA-PBE
Structure: relaxed

a = 4.4105 Å, b = 4.4105 Å, c = 4.4105 Å
α = 90.00°, β = 90.00°, γ = 90.00°
Closest atoms and distances in Å follow each position.
Atoms (fractional coordinates):
Be 0.0000 0.5000 0.0000  2 F 2.21
Be 0.0000 0.0000 0.5000  2 F 2.21
Be 0.5000 0.0000 0.0000  2 F 2.21
F 0.0000 0.0000 0.0000  6 Be 2.21
La 0.5000 0.5000 0.5000  12 Be 3.12

Results
* V: 17.16 Å³ per atom
* space-group type: Pm-3m (221)
* ΔE to the lowest computed polymorph: 0 meV/atom
* formation energy (no corrections): 0.332 eV per atom
* spin magnetization: 0.000 μB/atom



(4)
Compound: ScNi2Ir
Source: Alexandria
Functional: GGA-PBE
Structure: relaxed

a = 4.5988 Å, b = 4.5988 Å, c = 4.5988 Å
α = 130.30°, β = 130.32°, γ = 72.91°
Closest atoms and distances in Å follow each position.
Atoms (fractional coordinates):
Ir 0.2500 0.7500 0.5000  8 Ni 2.67, 4 Sc 2.73
Ni 0.0000 0.0000 0.0000  4 Sc 2.67-2.68, 4 Ir 2.67, 4 Ni 2.73
Ni 0.5000 0.5000 0.0000  4 Sc 2.67-2.68, 4 Ir 2.67, 4 Ni 2.73
Sc 0.7500 0.2500 0.5000  8 Ni 2.67-2.68, 4 Ir 2.73

Results
* V: 13.81 Å³ per atom
* space-group type: I4/mmm (139)
* calculated formation energy: -0.40 eV per atom
* spin magnetization: 0.001 μB/atom



(5)
Compound: Nb3H3Rh
Source: Alexandria
Functional: GGA-PBE
Structure: relaxed

a = 5.3894 Å, b = 5.3894 Å, c = 5.3894 Å
α = 90.00°, β = 90.00°, γ = 90.00°
Closest atoms and distances in Å follow each position.
Atoms (fractional coordinates):
H 0.2500 0.0000 0.5000  4 Nb 1.91
H 0.0000 0.5000 0.2500  4 Nb 1.91
H 0.5000 0.7500 0.0000  4 Nb 1.91
H 0.7500 0.0000 0.5000  4 Nb 1.91
H 0.0000 0.5000 0.7500  4 Nb 1.91
H 0.5000 0.2500 0.0000  4 Nb 1.91
Nb 0.0000 0.2500 0.5000  4 H 1.91
Nb 0.0000 0.7500 0.5000  4 H 1.91
Nb 0.5000 0.0000 0.7500  4 H 1.91
Nb 0.7500 0.5000 0.0000  4 H 1.91
Nb 0.5000 0.0000 0.2500  4 H 1.91
Nb 0.2500 0.5000 0.0000  4 H 1.91
Rh 0.5000 0.5000 0.5000  12 Nb 3.01, 12 H 3.01
Rh 0.0000 0.0000 0.0000  12 H 3.01, 12 Nb 3.01

Results
* V: 11.18 Å³ per atom
* space-group type: Pm-3n (223)
* calculated total energy: -7.011 eV per atom
* spin magnetization: 0.000 μB/atom



(6)
Compound: LaCoBr
Source: Alexandria
Functional: GGA-PBE
Structure: relaxed

a = 4.0867 Å, b = 4.0863 Å, c = 11.9086 Å
α = 81.01°, β = 80.12°, γ = 60.00°
Closest atoms and distances in Å follow each position.
Atoms (fractional coordinates):
La 0.0428 0.7438 0.1707  6 Co 3.05, 3 Br 3.10
La 0.1627 0.8337 0.8408  6 Co 3.05, 3 Br 3.10
Co 0.4362 0.1219 0.0058  3 Co 2.36
Co 0.7695 0.4552 0.0058  3 Co 2.36
Br 0.5586 0.2142 0.6686  3 La 3.10
Br 0.3135 0.0300 0.3430  3 La 3.10

Results
* V: 28.18 Å³ per atom
* space-group type: Cm (8)
* formation energy (no corrections): -0.995 eV per atom
* spin magnetization: 0.044 μB/atom



(7)
Compound: Ni2AgAu
Source: Alexandria
Functional: GGA-PBE
Structure: relaxed

a = 3.6651 Å, b = 2.8142 Å, c = 6.2642 Å
α = 63.41°, β = 90.00°, γ = 90.00°
Closest atoms and distances in Å follow each position.
Atoms (fractional coordinates):
Ag 0.5000 0.2500 0.2500  8 Ni 2.71-2.72, 2 Au 2.80, 2 Ag 2.81
Au 0.5000 0.7500 0.7500  8 Ni 2.69, 2 Ag 2.80, 2 Au 2.81
Ni 0.0000 0.0057 0.9951  4 Au 2.69, 4 Ag 2.71-2.72, 4 Ni 2.75-2.86
Ni 0.0000 0.4943 0.5049  4 Au 2.69, 4 Ag 2.71-2.72, 4 Ni 2.75-2.86

Results
* V: 14.44 Å³ per atom
* space-group type: P2/m (10)
* calculated formation energy: 0.21 eV per atom
* spin magnetization: 0.230 μB/atom



(8)
Compound: CePbF5
Source: Alexandria
Functional: GGA-PBE
Structure: relaxed

a = 5.3126 Å, b = 5.3126 Å, c = 8.4705 Å
α = 93.13°, β = 93.13°, γ = 91.98°
Closest atoms and distances in Å follow each position.
Atoms (fractional coordinates):
Ce 0.0000 0.0000 0.0000  6 F 2.30-2.35
Ce 0.0000 0.0000 0.5000  6 F 2.30-2.35
Pb 0.5204 0.4796 0.7500  4 F 2.39-2.53
Pb 0.4796 0.5204 0.2500  4 F 2.39-2.53
F 0.6419 0.0862 0.8502  1 Ce 2.30, 1 Pb 2.39
F 0.3791 0.2349 0.4944  1 Ce 2.34, 1 Pb 2.53
F 0.0862 0.6419 0.3502  1 Ce 2.30, 1 Pb 2.39
F 0.1338 0.8662 0.7500  2 Ce 2.35
F 0.7651 0.6209 0.0056  1 Ce 2.34, 1 Pb 2.53
F 0.2349 0.3791 0.9944  1 Ce 2.34, 1 Pb 2.53
F 0.8662 0.1338 0.2500  2 Ce 2.35
F 0.9138 0.3581 0.6498  1 Ce 2.30, 1 Pb 2.39
F 0.6209 0.7651 0.5056  1 Ce 2.34, 1 Pb 2.53
F 0.3581 0.9138 0.1498  1 Ce 2.30, 1 Pb 2.39

Results
* V: 17.01 Å³ per atom
* space-group type: C2/c (15)
* formation energy (no corrections): -3.230 eV per atom
* spin magnetization: 0.143 μB/atom



(9)
Compound: FeTeSe2
Source: Alexandria
Functional: GGA-PBE
Structure: relaxed

a = 6.6694 Å, b = 6.6694 Å, c = 6.6694 Å
α = 150.97°, β = 137.84°, γ = 52.00°
Closest atoms and distances in Å follow each position.
Atoms (fractional coordinates):
Fe 0.7725 0.2725 0.5000  2 Se 2.38
Se 0.9142 0.9142 0.0000  2 Fe 2.38
Se 0.2155 0.7155 0.5000  2 Te 2.78, 4 Fe 3.00
Te 0.5978 0.5978 0.0000  2 Fe 2.68, 2 Se 2.78

Results
* V: 24.03 Å³ per atom
* space-group type: Imm2 (44)
* formation energy (no corrections): 0.155 eV per atom
* spin magnetization: 0.725 μB/atom



(10)
Compound: LaTc2Ni2
Source: Alexandria
Functional: GGA-PBE
Structure: relaxed

a = 4.2113 Å, b = 4.2113 Å, c = 5.8271 Å
α = 68.82°, β = 68.82°, γ = 90.00°
Closest atoms and distances in Å follow each position.
Atoms (fractional coordinates):
Ni 0.7500 0.2500 0.5000  4 Tc 2.50
Ni 0.2500 0.7500 0.5000  4 Tc 2.50
Tc 0.3851 0.3851 0.2298  1 Tc 2.30, 4 Ni 2.50
Tc 0.6149 0.6149 0.7702  1 Tc 2.30, 4 Ni 2.50
La 0.0000 0.0000 0.0000  8 Tc 3.19, 8 Ni 3.27

Results
* V: 17.77 Å³ per atom
* space-group type: I4/mmm (139)
* calculated formation energy: 0.12 eV per atom
* ΔE to the lowest computed polymorph: 96 meV/atom
* spin magnetization: 0.000 μB/atom



(11)
Compound: Li2CdFeN
Source: Alexandria
Functional: GGA-PBE
Structure: relaxed

a = 4.1879 Å, b = 4.1879 Å, c = 3.5450 Å
α = 90.00°, β = 90.00°, γ = 90.00°
Closest atoms and distances in Å follow each position.
Atoms (fractional coordinates):
N 0.0000 0.0000 0.0000  2 Fe 1.77
Li 0.0000 0.5000 0.0000  2 N 2.09
Li 0.5000 0.0000 0.0000  2 N 2.09
Fe 0.0000 0.0000 0.5000  2 N 1.77
Cd 0.5000 0.5000 0.5000  8 Li 2.74, 4 Fe 2.96

Results
* V: 12.43 Å³ per atom
* space-group type: P4/mmm (123)
* formation energy (no corrections): -0.207 eV per atom
* spin magnetization: 0.000 μB/atom



(12)
Compound: AcLaSm6Tm2
Source: Alexandria
Functional: GGA-PBE
Structure: relaxed

a = 9.7908 Å, b = 8.9947 Å, c = 8.9947 Å
α = 117.12°, β = 93.12°, γ = 93.12°
Closest atoms and distances in Å follow each position.
Atoms (fractional coordinates):
Ac 0.2500 0.9659 0.0341  4 Tm 3.51-3.58, 6 Sm 3.67-3.85
Ac 0.7500 0.0341 0.9659  4 Tm 3.51-3.58, 6 Sm 3.67-3.85
La 0.2500 0.4084 0.5916  6 Sm 3.50-3.65, 2 Tm 3.64
La 0.7500 0.5916 0.4084  6 Sm 3.50-3.65, 2 Tm 3.64
Sm 0.0563 0.1130 0.7517  5 Sm 3.45-3.75, 1 Tm 3.59, 2 Ac 3.82-3.85
Sm 0.4437 0.2483 0.8870  5 Sm 3.45-3.75, 1 Tm 3.59, 2 Ac 3.82-3.85
Sm 0.9437 0.8870 0.2483  5 Sm 3.45-3.75, 1 Tm 3.59, 2 Ac 3.82-3.85
Sm 0.5563 0.7517 0.1130  5 Sm 3.45-3.75, 1 Tm 3.59, 2 Ac 3.82-3.85
Sm 0.3241 0.9825 0.4465  3 Sm 3.26-3.65, 2 Tm 3.50-3.52, 1 La 3.57
Sm 0.1759 0.5535 0.0175  3 Sm 3.26-3.65, 2 Tm 3.50-3.52, 1 La 3.57
Sm 0.6759 0.0175 0.5535  3 Sm 3.26-3.65, 2 Tm 3.50-3.52, 1 La 3.57
Sm 0.8241 0.4465 0.9825  3 Sm 3.26-3.65, 2 Tm 3.50-3.52, 1 La 3.57
Sm 0.1199 0.7066 0.4866  4 Sm 3.26-3.64, 3 Tm 3.34-3.51, 2 La 3.50-3.65
Sm 0.3801 0.5134 0.2934  4 Sm 3.26-3.64, 3 Tm 3.34-3.51, 2 La 3.50-3.65
Sm 0.8801 0.2934 0.5134  4 Sm 3.26-3.64, 3 Tm 3.34-3.51, 2 La 3.50-3.65
Sm 0.6199 0.4866 0.7066  4 Sm 3.26-3.64, 3 Tm 3.34-3.51, 2 La 3.50-3.65
Tm 0.4515 0.8006 0.6931  6 Sm 3.34-3.59, 2 Ac 3.51-3.58, 1 La 3.64
Tm 0.0485 0.3069 0.1994  6 Sm 3.34-3.59, 2 Ac 3.51-3.58, 1 La 3.64
Tm 0.5485 0.1994 0.3069  6 Sm 3.34-3.59, 2 Ac 3.51-3.58, 1 La 3.64
Tm 0.9515 0.6931 0.8006  6 Sm 3.34-3.59, 2 Ac 3.51-3.58, 1 La 3.64

Results
* V: 35.06 Å³ per atom
* space-group type: C2/c (15)
* calculated formation energy: 0.12 eV per atom
* spin magnetization: 0.000 μB/atom